Entry from Alexandria via LeMat-Bulk: a geometry-optimized LiTiTc2N4 structure (PBE).

Structure (extended XYZ):
```
16
Lattice="6.760 0.000 0.000 0.000 5.462 0.000 0.000 0.000 5.197" Properties=species:S:1:pos:R:3 pbc="T T T"
Li 0.000 0.868 0.000
Li 3.380 4.594 2.598
Ti 0.000 4.572 2.718
Ti 3.380 0.890 0.119
Tc 1.656 1.992 2.431
Tc 1.724 3.470 5.029
Tc 5.037 3.470 5.029
Tc 5.104 1.992 2.431
N 0.000 1.086 2.114
N 0.000 4.317 4.665
N 1.541 3.836 1.795
N 1.839 1.626 4.394
N 3.380 1.145 2.066
N 3.380 4.376 4.713
N 4.922 1.626 4.394
N 5.219 3.836 1.795
```

Values from the calculation:
The symmetry is Pmn2_1 (31). The total energy is -8.382 eV/atom. The value obtained for the calculated volume is 12.0 Å³ per atom. Its formation energy (no corrections) is -0.4020 eV/atom. As for the total moment: 0.000 μB/atom.